First-principles (PBE) data for crystalline Sr2LiAg2 at its relaxed geometry, as listed in Alexandria.

Computed properties:
energy above the lowest structure with this stoichiometry = 194.0 meV per atom
space group = P4/mbm (127)
formation enthalpy at 0 K = -30.3 kJ/mol of formula units

Structure (CIF):
```
data_Sr2LiAg2
_cell_length_a 9.015
_cell_length_b 9.015
_cell_length_c 3.884
_cell_angle_alpha 90.00
_cell_angle_beta 90.00
_cell_angle_gamma 90.00
_space_group_name_H-M_alt 'P 1'
_space_group_IT_number 1
loop_
_space_group_symop_operation_xyz
'x,y,z'
loop_
_atom_site_label
_atom_site_fract_x
_atom_site_fract_y
_atom_site_fract_z
Sr1 0.335 0.835 0.000
Sr2 0.165 0.335 0.000
Sr3 0.665 0.165 0.000
Sr4 0.835 0.665 0.000
Ag1 0.125 0.625 0.500
Ag2 0.625 0.875 0.500
Ag3 0.875 0.375 0.500
Ag4 0.375 0.125 0.500
Li1 0.000 0.000 0.000
Li2 0.500 0.500 0.000
```

First-principles (PBE) data for crystalline Ac6TlIr2Cl3 at its relaxed geometry, as listed in Alexandria.

Computed properties:
space group = C2/m (12)
formation energy (no corrections) = -1144 meV/atom

Structure (CIF):
```
data_Ac6TlIr2Cl3
_cell_length_a 4.350
_cell_length_b 9.343
_cell_length_c 11.039
_cell_angle_alpha 104.94
_cell_angle_beta 101.36
_cell_angle_gamma 90.00
_space_group_name_H-M_alt 'P 1'
_space_group_IT_number 1
loop_
_space_group_symop_operation_xyz
'x,y,z'
loop_
_atom_site_label
_atom_site_fract_x
_atom_site_fract_y
_atom_site_fract_z
Cl1 0.184 0.865 0.367
Cl2 0.816 0.135 0.633
Cl3 0.500 0.500 0.000
Ac1 0.314 0.427 0.627
Ac2 0.969 0.719 0.937
Ac3 0.031 0.281 0.063
Ac4 0.686 0.573 0.373
Ac5 0.337 0.879 0.673
Ac6 0.663 0.121 0.327
Tl1 0.500 0.000 0.000
Ir1 0.171 0.345 0.342
Ir2 0.829 0.655 0.658
```

First-principles (PBE) data for crystalline Zn2Ag3 at its relaxed geometry, as listed in Alexandria.

Computed properties:
energy above the lowest structure with this stoichiometry = 0.0 meV per atom
space group = Fdd2 (43)
formation enthalpy at 0 K = -15.4 kJ/mol of formula units

Structure (CIF):
```
data_Zn2Ag3
_cell_length_a 5.415
_cell_length_b 5.415
_cell_length_c 7.242
_cell_angle_alpha 80.16
_cell_angle_beta 80.16
_cell_angle_gamma 122.86
_space_group_name_H-M_alt 'P 1'
_space_group_IT_number 1
loop_
_space_group_symop_operation_xyz
'x,y,z'
loop_
_atom_site_label
_atom_site_fract_x
_atom_site_fract_y
_atom_site_fract_z
Ag1 0.482 0.890 0.298
Ag2 0.640 0.732 0.798
Ag3 0.073 0.073 0.000
Ag4 0.189 0.780 0.702
Ag5 0.823 0.323 0.500
Ag6 0.530 0.439 0.202
Zn1 0.650 0.202 0.905
Zn2 0.304 0.356 0.595
Zn3 0.106 0.554 0.095
Zn4 0.952 0.900 0.405
```

First-principles (PBE) data for crystalline TlPbN2F at its relaxed geometry, as listed in Alexandria.

Computed properties:
energy above the lowest structure with this stoichiometry = 0.0 meV per atom
space group = P4/mmm (123)
formation energy (no corrections) = 635 meV/atom

Structure (CIF):
```
data_TlPbN2F
_cell_length_a 4.565
_cell_length_b 4.565
_cell_length_c 4.690
_cell_angle_alpha 90.00
_cell_angle_beta 90.00
_cell_angle_gamma 90.00
_space_group_name_H-M_alt 'P 1'
_space_group_IT_number 1
loop_
_space_group_symop_operation_xyz
'x,y,z'
loop_
_atom_site_label
_atom_site_fract_x
_atom_site_fract_y
_atom_site_fract_z
N1 0.500 0.000 0.000
N2 0.000 0.500 0.000
Pb1 0.000 0.000 0.000
F1 0.000 0.000 0.500
Tl1 0.500 0.500 0.500
```